8
Lattice="-7.145 -1.190 3.165 -0.485 -6.962 -3.711 -2.460 -5.513 2.246" Properties=species:S:1:pos:R:3 comment="La2GaCo (PBE, relaxed)" n_ef_per_ev_fu=3.578 e_form_ev_per_atom=-0.05 m_tot_mub_per_fu=0.0 pbc="T T T"
Ga -6.710 -5.389 2.569
Co -3.380 -8.276 -0.869
La -4.721 -2.922 1.890
La -2.231 -5.948 -1.176
Ga 0.000 0.000 0.000
La -4.734 -7.600 1.262
La -8.492 -10.859 1.425
Co -3.815 -4.076 -0.273